## Pu6RuRh3 (PBE)

Data for crystalline Pu6RuRh3 at its relaxed geometry.

Summary:
Raw total energy (eV per atom): -11.442
ΔH_f (0 K) (meV/atom): 290

Cell and atoms, written as extended XYZ:
```
20
Lattice="5.775 0.000 0.000 -2.887 5.001 0.000 0.000 0.000 12.494" Properties=species:S:1:pos:R:3 pbc="T T T"
Pu -0.278 1.836 4.254
Pu -1.436 3.842 1.993
Pu 0.278 1.836 1.993
Pu -1.158 4.324 4.254
Pu 1.729 0.677 8.240
Pu 1.451 1.159 10.502
Pu 1.436 3.842 4.254
Pu 1.158 4.324 1.993
Pu 4.046 0.677 10.502
Pu 2.609 3.165 8.240
Pu 4.324 1.159 8.240
Pu 3.165 3.165 10.502
Ru 0.000 3.334 9.371
Ru 2.887 1.667 3.124
Rh 0.000 0.000 0.000
Rh 0.000 0.000 6.247
Rh 0.000 3.334 6.754
Rh 0.000 3.334 11.987
Rh 2.887 1.667 0.507
Rh 2.887 1.667 5.740
```

---

## Pu4RuRh2 (PBE)

Data for crystalline Pu4RuRh2 at its relaxed geometry.

Summary:
ΔE to the lowest computed polymorph (meV/atom): 0
Raw total energy (eV per atom): -11.899
ΔH_f (0 K) (meV/atom): -283

Cell and atoms, written as extended XYZ:
```
14
Lattice="-4.202 4.202 4.285 4.202 -4.202 4.285 4.202 4.202 -4.285" Properties=species:S:1:pos:R:3 pbc="T T T"
Pu 3.611 2.656 -1.686
Pu 5.747 0.590 0.457
Pu 0.590 2.656 -0.457
Pu 0.590 1.546 2.600
Pu 1.546 -0.590 5.971
Pu 3.611 1.546 3.829
Pu 2.656 4.792 1.686
Pu -1.546 3.611 4.742
Ru 0.000 0.000 0.000
Ru 0.000 4.202 2.143
Rh 2.101 -0.993 3.214
Rh 3.208 2.101 1.071
Rh 2.101 5.195 -1.071
Rh 0.993 2.101 5.357
```

---

## PuRuRh (PBE)

Data for crystalline PuRuRh at its relaxed geometry.

Summary:
ΔE to the lowest computed polymorph (meV/atom): 402
Raw total energy (eV per atom): -10.226
ΔH_f (0 K) (meV/atom): 94

Cell and atoms, written as extended XYZ:
```
6
Lattice="7.432 0.000 0.000 0.000 3.915 0.000 0.000 0.000 4.075" Properties=species:S:1:pos:R:3 pbc="T T T"
Pu 1.858 0.000 4.073
Pu 5.574 0.000 0.002
Ru 0.000 0.000 2.038
Ru 3.716 0.000 2.038
Rh 1.858 1.958 2.034
Rh 5.574 1.958 2.041
```

---

## PuRuRh (PBE)

Data for crystalline PuRuRh at its relaxed geometry.

Summary:
ΔE to the lowest computed polymorph (meV/atom): 216
Raw total energy (eV per atom): -10.412
ΔH_f (0 K) (meV/atom): -92

Cell and atoms, written as extended XYZ:
```
6
Lattice="3.462 0.000 0.000 -0.129 3.463 0.000 -1.361 -1.102 8.872" Properties=species:S:1:pos:R:3 pbc="T T T"
Pu 0.426 0.569 2.199
Pu 1.546 1.792 6.673
Ru -0.484 -0.226 8.111
Ru 2.456 2.588 0.760
Rh 0.137 0.295 5.209
Rh 1.835 2.066 3.663
```

---

## Pu5Ru2Rh2 (PBE)

Data for crystalline Pu5Ru2Rh2 at its relaxed geometry.

Summary:
Raw total energy (eV per atom): -11.773
ΔH_f (0 K) (meV/atom): -116

Cell and atoms, written as extended XYZ:
```
18
Lattice="-2.358 8.526 4.323 2.358 -8.526 4.323 2.358 8.526 -4.323" Properties=species:S:1:pos:R:3 pbc="T T T"
Pu 2.358 2.644 -0.832
Pu 0.000 1.913 1.036
Pu 2.358 5.882 -0.832
Pu 0.000 4.263 1.824
Pu 2.358 1.913 3.287
Pu 0.000 6.613 1.036
Pu 2.358 4.263 2.499
Pu 0.000 2.644 5.155
Pu 2.358 6.613 3.287
Pu 0.000 5.882 5.155
Ru 2.358 0.000 0.000
Ru 2.358 -4.263 3.120
Ru 0.000 0.000 4.323
Ru 0.000 12.790 1.203
Rh 2.358 7.925 -2.852
Rh 2.358 -0.602 2.852
Rh 0.000 9.128 1.470
Rh 0.000 0.602 7.175
```

---

## Pu6Ru2Rh (PBE)

Data for crystalline Pu6Ru2Rh at its relaxed geometry.

Summary:
ΔE to the lowest computed polymorph (meV/atom): 0
Raw total energy (eV per atom): -12.539
ΔH_f (0 K) (meV/atom): -107

Cell and atoms, written as extended XYZ:
```
9
Lattice="4.453 -2.417 0.000 4.453 2.417 0.000 -0.093 0.000 8.402" Properties=species:S:1:pos:R:3 pbc="T T T"
Pu 0.012 0.000 1.469
Pu 2.890 0.000 5.020
Pu 2.931 0.000 7.834
Pu 5.882 0.000 0.568
Pu 5.923 0.000 3.382
Pu 8.801 0.000 6.933
Ru 3.034 0.000 2.146
Ru 5.779 0.000 6.256
Rh -0.046 0.000 4.201
```